Entry P
Below is an optimized crystal structure of Tb2U3Se8, with properties calculated at the PBE level.

- N(E_F): 17.84 states/eV/f.u.
- Theoretical density: 8.1 g/cm3

a b c (Å): 4.956 9.781 8.547
angles (deg): 124.89 90.00 90.00
Element x y z (fractional)
1 Se 0.000 0.628 0.256
2 Se 0.500 0.884 0.246
3 Se 0.500 0.638 0.754
4 U 0.500 0.000 0.000
5 U 0.000 0.735 0.000
6 Se 0.000 0.372 0.744
7 Se 0.000 0.116 0.232
8 U 0.000 0.265 0.000
9 Tb 0.500 0.268 0.535
10 Se 0.000 0.884 0.768
11 Se 0.500 0.362 0.246
12 Tb 0.500 0.732 0.465
13 Se 0.500 0.116 0.754

=====

Entry Q
Below is an optimized crystal structure of Tb2U3Se8, with properties calculated at the PBE level.

- N(E_F): 14.99 states/eV/f.u.
- Theoretical density: 7.1 g/cm3

a b c (Å): 6.881 8.130 8.389
angles (deg): 118.98 106.01 90.00
Element x y z (fractional)
1 Se 0.096 0.384 0.768
2 U 0.000 0.743 0.000
3 Se 0.415 0.884 0.250
4 Se 0.080 0.880 0.760
5 Tb 0.334 0.256 0.512
6 Tb 0.666 0.744 0.488
7 Se 0.585 0.116 0.750
8 U 0.500 0.000 0.000
9 U 0.000 0.257 0.000
10 Se 0.415 0.366 0.250
11 Se 0.585 0.634 0.750
12 Se 0.904 0.616 0.232
13 Se 0.920 0.120 0.240

=====

The energetic minimum among the shown structures is entry Q; the next structure lies 23 meV/atom above.